Record 1
The following is a SCAN calculation of a crystal of BeZnNi relaxed with PBEsol, from Alexandria.

Unit cell a=2.7210 b=2.7210 c=8.3577 alpha=90.00 beta=90.00 gamma=90.00
With the nearest neighbours (Å) after each atom.
Space group I4mm (No. 107)
Asymmetric unit:
Be  0.0000  0.0000  0.0000 (multiplicity 2)  4 Ni 2.20, 4 Zn 2.45
Zn  0.0000  0.0000  0.6811 (multiplicity 2)  5 Be 2.45-2.67, 5 Ni 2.50-2.59, 4 Zn 2.72
Ni  0.0000  0.0000  0.3716 (multiplicity 2)  4 Be 2.20

Values from the calculation:
Offset from the most stable computed form, meV/atom: 0.0
Magnetization, μB/f.u.: 0.000
Calculated volume, Å³/cell: 62
Crystal system: tetragonal
D(E_F), states/eV/atom: 0.450
VASP energy, eV/atom: -11.625

Record 2
The following is a SCAN calculation of a crystal of Be2ZnNi relaxed with PBEsol, from Alexandria.

Unit cell a=2.4775 b=2.4775 c=23.0261 alpha=90.00 beta=90.00 gamma=120.00
With the nearest neighbours (Å) after each atom.
Space group R-3m (No. 166, hexagonal axes)
Asymmetric unit:
Be  0.0000  0.0000  0.2414 (multiplicity 6)  3 Ni 2.24, 6 Be 2.48
Zn  0.0000  0.0000  0.0000 (multiplicity 3)  6 Zn 2.48, 6 Be 2.55
Ni  0.0000  0.0000  0.5000 (multiplicity 3)  6 Be 2.24, 6 Ni 2.48

Values from the calculation:
Magnetization, μB/f.u.: 0.000
Calculated volume, Å³/cell: 122
Crystal system: trigonal
D(E_F), states/eV/atom: 0.415
VASP energy, eV/atom: -9.659

Record 3
The following is a SCAN calculation of a crystal of Be4ZnNi relaxed with PBEsol, from Alexandria.

Unit cell a=5.9495 b=5.9495 c=5.9495 alpha=90.00 beta=90.00 gamma=90.00
With the nearest neighbours (Å) after each atom.
Space group F-43m (No. 216)
Asymmetric unit:
Be  0.1241  0.1241  0.3759 (multiplicity 16)  6 Be 2.09-2.12
Zn  0.0000  0.0000  0.0000 (multiplicity 4)  12 Be 2.47, 4 Ni 2.58
Ni  0.2500  0.2500  0.7500 (multiplicity 4)  12 Be 2.46, 4 Zn 2.58

Values from the calculation:
Magnetization, μB/f.u.: 0.000
Calculated volume, Å³/cell: 211
Crystal system: cubic
D(E_F), states/eV/atom: 0.141
VASP energy, eV/atom: -8.126

Record 4
The following is a SCAN calculation of a crystal of ZrBe2Ni relaxed with PBEsol, from Alexandria.

Unit cell a=3.6083 b=3.6083 c=13.1298 alpha=90.00 beta=90.00 gamma=120.00
With the nearest neighbours (Å) after each atom.
Space group R-3m (No. 166, hexagonal axes)
Asymmetric unit:
Zr  0.0000  0.0000  0.0000 (multiplicity 3)  8 Be 2.67-2.69
Be  0.0000  0.0000  0.2033 (multiplicity 6)  3 Ni 2.14, 3 Be 2.30
Ni  0.0000  0.0000  0.5000 (multiplicity 3)  6 Be 2.14

Values from the calculation:
Magnetization, μB/f.u.: 0.003
Calculated volume, Å³/cell: 148
Crystal system: trigonal
D(E_F), states/eV/atom: 0.641
VASP energy, eV/atom: -14.251